Record 1
This record from OQMD describes Cu4Ag after structural relaxation. The functional is PBE-GGA.

energy above the most stable polymorph in this dataset	0.17	eV/f.u.
ΔE_f	0.08	eV/atom

Structure (CIF):
```
data_Cu4Ag
_cell_length_a 2.6833
_cell_length_b 2.6833
_cell_length_c 63.2196
_cell_angle_alpha 90.00
_cell_angle_beta 90.00
_cell_angle_gamma 120.00
_symmetry_space_group_name_H-M 'R -3 m'
_symmetry_Int_Tables_number 166
_symmetry_space_group_name_Hall '-R 3 2"'
loop_
_atom_site_label
_atom_site_fract_x
_atom_site_fract_y
_atom_site_fract_z
Cu1 0.0000 0.0000 0.0476
Cu2 0.0000 0.0000 0.2540
Cu3 0.0000 0.0000 0.3492
Cu4 0.0000 0.0000 0.4440
Ag1 0.0000 0.0000 0.1465
```

Record 2
This record from OQMD describes Tl2InIr after structural relaxation. The functional is PBE-GGA.

calculated total energy	-3.632	eV/atom

Structure (CIF):
```
data_Tl2InIr
_cell_length_a 7.095
_cell_length_b 7.095
_cell_length_c 7.095
_cell_angle_alpha 90.00
_cell_angle_beta 90.00
_cell_angle_gamma 90.00
_symmetry_space_group_name_H-M 'F -4 3 m'
_symmetry_Int_Tables_number 216
_symmetry_space_group_name_Hall 'F -4 2 3'
loop_
_atom_site_label
_atom_site_fract_x
_atom_site_fract_y
_atom_site_fract_z
Tl1 0.000 0.000 0.000
Tl2 0.250 0.250 0.250
In1 0.000 0.000 0.500
Ir1 0.250 0.250 0.750
```

Record 3
This record from OQMD describes RbAsW after structural relaxation. The functional is PBE-GGA.

energy above the most stable polymorph in this dataset	0.00	eV/f.u.

Structure (CIF):
```
data_RbAsW
_cell_length_a 7.069
_cell_length_b 7.069
_cell_length_c 7.069
_cell_angle_alpha 90.00
_cell_angle_beta 90.00
_cell_angle_gamma 90.00
_symmetry_space_group_name_H-M 'F -4 3 m'
_symmetry_Int_Tables_number 216
_symmetry_space_group_name_Hall 'F -4 2 3'
loop_
_atom_site_label
_atom_site_fract_x
_atom_site_fract_y
_atom_site_fract_z
Rb1 0.000 0.000 0.000
As1 0.250 0.250 0.250
W1 0.000 0.000 0.500
```

Record 4
This record from OQMD describes YMgTaOs after structural relaxation. The functional is PBE-GGA.

energy above the most stable polymorph in this dataset	0.09	eV/f.u.

Structure (CIF):
```
data_YMgTaOs
_cell_length_a 6.674
_cell_length_b 6.674
_cell_length_c 6.674
_cell_angle_alpha 90.00
_cell_angle_beta 90.00
_cell_angle_gamma 90.00
_symmetry_space_group_name_H-M 'F -4 3 m'
_symmetry_Int_Tables_number 216
_symmetry_space_group_name_Hall 'F -4 2 3'
loop_
_atom_site_label
_atom_site_fract_x
_atom_site_fract_y
_atom_site_fract_z
Y1 0.000 0.000 0.000
Mg1 0.250 0.250 0.250
Ta1 0.250 0.250 0.750
Os1 0.000 0.000 0.500
```